Record 1
## Sr2HgTe (PBE-GGA)

Data for a geometry-optimized Sr2HgTe structure.

Output
For the formation energy (no corrections), the calculation gives -0.85 eV per atom.

The structure in CIF format:
```
data_Sr2HgTe
_symmetry_space_group_name_H-M 'P 1'
_symmetry_Int_Tables_number 1
_cell_length_a 6.025
_cell_length_b 6.025
_cell_length_c 6.025
_cell_angle_alpha 127.41
_cell_angle_beta 127.41
_cell_angle_gamma 77.59
loop_
_symmetry_equiv_pos_as_xyz
'x,y,z'
loop_
_atom_site_label
_atom_site_type_symbol
_atom_site_fract_x
_atom_site_fract_y
_atom_site_fract_z
Sr1 Sr 0.000 0.000 0.000
Hg1 Hg 0.750 0.250 0.500
Sr2 Sr 0.500 0.500 0.000
Te1 Te 0.250 0.750 0.500
```


Record 2
## Sr2HgTe (PBE-GGA)

Data for a geometry-optimized Sr2HgTe structure.

Output
For the formation energy (no corrections), the calculation gives -0.83 eV per atom.

The structure in CIF format:
```
data_Sr2HgTe
_symmetry_space_group_name_H-M 'P 1'
_symmetry_Int_Tables_number 1
_cell_length_a 5.758
_cell_length_b 5.758
_cell_length_c 5.758
_cell_angle_alpha 60.00
_cell_angle_beta 60.00
_cell_angle_gamma 60.00
loop_
_symmetry_equiv_pos_as_xyz
'x,y,z'
loop_
_atom_site_label
_atom_site_type_symbol
_atom_site_fract_x
_atom_site_fract_y
_atom_site_fract_z
Hg1 Hg 0.500 0.500 0.500
Sr1 Sr 0.750 0.750 0.750
Sr2 Sr 0.250 0.250 0.250
Te1 Te 0.000 0.000 0.000
```


| no. | DOS at the Fermi energy (states/eV per cell) |
| --- | --- |
| 1 | 2.36 |
| 2 | 4.69 |